ReGe3N: optimized geometry, PBE-GGA.

## Properties
For the formation energy from raw total energies, the calculation gives 996 meV/atom. Its crystal system is cubic. As for the polymorph energy (0 for the lowest one): 0.00 kJ/mol of atoms.

Cell lengths 4.1987, 4.1987, 4.1987 Å; angles 90.00, 90.00, 90.00 degrees
With the nearest neighbours (Å) after each atom.
Space group Pm-3m (No. 221)
Asymmetric unit:
Re 0.0000 0.0000 0.0000 x1  12 Ge 2.97
Ge 0.0000 0.5000 0.5000 x3  2 N 2.10
N 0.5000 0.5000 0.5000 x1  6 Ge 2.10


ReGeN2: optimized geometry, PBE-GGA.

## Properties
For the formation energy from raw total energies, the calculation gives 553 meV/atom. Its crystal system is tetragonal.

Cell lengths 5.0653, 5.0653, 9.4325 Å; angles 90.00, 90.00, 90.00 degrees
With the nearest neighbours (Å) after each atom.
Space group I-42d (No. 122)
Asymmetric unit:
Re 0.0000 0.0000 0.0000 x4  4 N 1.91
Ge 0.0000 0.0000 0.5000 x4  4 N 2.45
N 0.1580 0.2500 0.1250 x8  2 Re 1.91


Re2Ge2N: optimized geometry, PBE-GGA.

## Properties
For the formation energy from raw total energies, the calculation gives 1368 meV/atom. Its crystal system is tetragonal. As for the polymorph energy (0 for the lowest one): 0.00 kJ/mol of atoms.

Cell lengths 6.7373, 6.7373, 3.2259 Å; angles 90.00, 90.00, 90.00 degrees
With the nearest neighbours (Å) after each atom.
Space group P4/mbm (No. 127)
Asymmetric unit:
Re 0.1500 0.3500 0.0000 x4  6 Ge 2.49-2.59
Ge 0.1506 0.6506 0.5000 x4  6 Re 2.49-2.59, 2 N 2.56
N 0.0000 0.0000 0.5000 x2  4 Ge 2.56


Computed final energy, in the same sequence as the records: -29.64 -31.50 -35.62 eV/f.u..